# 1
NaNp2Br6 | PBE | optimized geometry

Calculated values
ΔE_f (raw): -11.53 eV/f.u.

Structure (CIF):
```
data_NaNp2Br6
_symmetry_space_group_name_H-M 'C 1 2/m 1'
_symmetry_Int_Tables_number 12
_symmetry_space_group_name_Hall '-C 2y'
_cell_length_a 15.3245
_cell_length_b 4.2666
_cell_length_c 10.7553
_cell_angle_alpha 90.00
_cell_angle_beta 106.94
_cell_angle_gamma 90.00
loop_
_atom_site_label
_atom_site_type_symbol
_atom_site_fract_x
_atom_site_fract_y
_atom_site_fract_z
Na1 Na 0.0000 0.0000 0.0000
Np1 Np 0.1645 0.5000 0.3354
Br1 Br 0.0288 0.0000 0.3044
Br2 Br 0.1404 0.5000 0.0635
Br3 Br 0.1954 0.5000 0.6224
```


# 2
Sr3In2Pb2Au4 | PBE | optimized geometry

Calculated values
ΔH_f (0 K): -530.1 meV per atom

Structure (CIF):
```
data_Sr3In2Pb2Au4
_symmetry_space_group_name_H-M 'P -3 m 1'
_symmetry_Int_Tables_number 164
_symmetry_space_group_name_Hall '-P 3 2"'
_cell_length_a 4.9608
_cell_length_b 4.9608
_cell_length_c 14.6764
_cell_angle_alpha 90.00
_cell_angle_beta 90.00
_cell_angle_gamma 120.00
loop_
_atom_site_label
_atom_site_type_symbol
_atom_site_fract_x
_atom_site_fract_y
_atom_site_fract_z
Sr1 Sr 0.0000 0.0000 0.0000
Sr2 Sr 0.0000 0.0000 0.2740
In1 In 0.3333 0.6667 0.1513
Pb1 Pb 0.3333 0.6667 0.5568
Au1 Au 0.3333 0.6667 0.3522
Au2 Au 0.3333 0.6667 0.8665
```


# 3
SrHfCl2 | PBE | optimized geometry

Calculated values
Energy above the lowest structure with this stoichiometry: 0.0 kJ per mole of atoms
ΔE_f (raw): -3.60 eV/f.u.

Structure (CIF):
```
data_SrHfCl2
_symmetry_space_group_name_H-M 'R -3 m'
_symmetry_Int_Tables_number 166
_symmetry_space_group_name_Hall '-R 3 2"'
_cell_length_a 3.5791
_cell_length_b 3.5791
_cell_length_c 28.0005
_cell_angle_alpha 90.00
_cell_angle_beta 90.00
_cell_angle_gamma 120.00
loop_
_atom_site_label
_atom_site_type_symbol
_atom_site_fract_x
_atom_site_fract_y
_atom_site_fract_z
Sr1 Sr 0.0000 0.0000 0.0000
Hf1 Hf 0.0000 0.0000 0.5000
Cl1 Cl 0.0000 0.0000 0.4094
```


# 4
Tb2HoAl | PBE | optimized geometry

Calculated values
Energy above the lowest structure with this stoichiometry: 0.0 kJ per mole of atoms
ΔH_f (0 K): -198.7 meV per atom

Structure (CIF):
```
data_Tb2HoAl
_symmetry_space_group_name_H-M 'A m m 2'
_symmetry_Int_Tables_number 38
_symmetry_space_group_name_Hall 'A 2 -2'
_cell_length_a 5.2876
_cell_length_b 6.8462
_cell_length_c 11.8736
_cell_angle_alpha 90.00
_cell_angle_beta 90.00
_cell_angle_gamma 90.00
loop_
_atom_site_label
_atom_site_type_symbol
_atom_site_fract_x
_atom_site_fract_y
_atom_site_fract_z
Tb1 Tb 0.0000 0.0000 0.0000
Tb2 Tb 0.0000 0.2366 0.2368
Tb3 Tb 0.5000 0.0000 0.6487
Ho1 Ho 0.5000 0.2371 0.4118
Al1 Al 0.0000 0.0000 0.4900
Al2 Al 0.5000 0.0000 0.1579
```


# 5
SrIn2Pt | PBE | optimized geometry

Calculated values
ΔH_f (0 K): -401.5 meV per atom

Structure (CIF):
```
data_SrIn2Pt
_symmetry_space_group_name_H-M 'P 4 m m'
_symmetry_Int_Tables_number 99
_symmetry_space_group_name_Hall 'P 4 -2'
_cell_length_a 3.6975
_cell_length_b 3.6975
_cell_length_c 7.4850
_cell_angle_alpha 90.00
_cell_angle_beta 90.00
_cell_angle_gamma 90.00
loop_
_atom_site_label
_atom_site_type_symbol
_atom_site_fract_x
_atom_site_fract_y
_atom_site_fract_z
Sr1 Sr 0.0000 0.0000 0.0000
In1 In 0.0000 0.0000 0.5703
In2 In 0.5000 0.5000 0.3231
Pt1 Pt 0.5000 0.5000 0.7197
```


# 6
CsZrBeGa2 | PBE | optimized geometry

Calculated values
ΔH_f (0 K): 647.0 meV per atom

Structure (CIF):
```
data_CsZrBeGa2
_symmetry_space_group_name_H-M 'P 4/m m m'
_symmetry_Int_Tables_number 123
_symmetry_space_group_name_Hall '-P 4 2'
_cell_length_a 5.4886
_cell_length_b 5.4886
_cell_length_c 5.2715
_cell_angle_alpha 90.00
_cell_angle_beta 90.00
_cell_angle_gamma 90.00
loop_
_atom_site_label
_atom_site_type_symbol
_atom_site_fract_x
_atom_site_fract_y
_atom_site_fract_z
Cs1 Cs 0.0000 0.0000 0.0000
Zr1 Zr 0.5000 0.5000 0.5000
Be1 Be 0.5000 0.5000 0.0000
Ga1 Ga 0.0000 0.5000 0.5000
```


# 7
HfAl2BiRu | PBE | optimized geometry

Calculated values
ΔH_f (0 K): 1429.1 meV per atom

Structure (CIF):
```
data_HfAl2BiRu
_symmetry_space_group_name_H-M 'P 4/m m m'
_symmetry_Int_Tables_number 123
_symmetry_space_group_name_Hall '-P 4 2'
_cell_length_a 5.1552
_cell_length_b 5.1552
_cell_length_c 5.4509
_cell_angle_alpha 90.00
_cell_angle_beta 90.00
_cell_angle_gamma 90.00
loop_
_atom_site_label
_atom_site_type_symbol
_atom_site_fract_x
_atom_site_fract_y
_atom_site_fract_z
Hf1 Hf 0.0000 0.0000 0.0000
Al1 Al 0.0000 0.5000 0.0000
Bi1 Bi 0.0000 0.0000 0.5000
Ru1 Ru 0.5000 0.5000 0.5000
```


# 8
BeNbCu | PBE | optimized geometry

Calculated values
Energy above the lowest structure with this stoichiometry: 105.1 kJ per mole of atoms
ΔH_f (0 K): 1007.0 meV per atom

Structure (CIF):
```
data_BeNbCu
_symmetry_space_group_name_H-M 'P 63/m m c'
_symmetry_Int_Tables_number 194
_symmetry_space_group_name_Hall '-P 6c 2c'
_cell_length_a 3.3685
_cell_length_b 3.3685
_cell_length_c 9.4588
_cell_angle_alpha 90.00
_cell_angle_beta 90.00
_cell_angle_gamma 120.00
loop_
_atom_site_label
_atom_site_type_symbol
_atom_site_fract_x
_atom_site_fract_y
_atom_site_fract_z
Be1 Be 0.0000 0.0000 0.2500
Nb1 Nb 0.0000 0.0000 0.0000
Cu1 Cu 0.3333 0.6667 0.2500
```


# 9
ZrTlTeS | PBE | optimized geometry

Calculated values
ΔE_f (raw): -3.58 eV/f.u.

Structure (CIF):
```
data_ZrTlTeS
_symmetry_space_group_name_H-M 'C 1 m 1'
_symmetry_Int_Tables_number 8
_symmetry_space_group_name_Hall 'C -2y'
_cell_length_a 6.5760
_cell_length_b 3.7972
_cell_length_c 9.1020
_cell_angle_alpha 90.00
_cell_angle_beta 103.89
_cell_angle_gamma 90.00
loop_
_atom_site_label
_atom_site_type_symbol
_atom_site_fract_x
_atom_site_fract_y
_atom_site_fract_z
Zr1 Zr 0.0000 0.0000 0.0000
Tl1 Tl 0.1484 0.0000 0.4467
Te1 Te 0.0944 0.5000 0.7823
S1 S 0.3867 0.0000 0.1606
```


# 10
Pm8SmSc3 | PBE | optimized geometry

Calculated values
ΔH_f (0 K): 47.3 meV per atom

Structure (CIF):
```
data_Pm8SmSc3
_symmetry_space_group_name_H-M 'P 1'
_symmetry_Int_Tables_number 1
_symmetry_space_group_name_Hall 'P 1'
_cell_length_a 6.1612
_cell_length_b 7.9262
_cell_length_c 8.6870
_cell_angle_alpha 111.25
_cell_angle_beta 90.15
_cell_angle_gamma 105.05
loop_
_atom_site_label
_atom_site_type_symbol
_atom_site_fract_x
_atom_site_fract_y
_atom_site_fract_z
Pm1 Pm 0.0000 0.0000 0.0000
Pm2 Pm 0.0756 0.7545 0.5775
Pm3 Pm 0.1612 0.5158 0.1651
Pm4 Pm 0.4188 0.7552 0.9180
Pm5 Pm 0.5019 0.5031 0.4949
Pm6 Pm 0.5832 0.2634 0.0817
Pm7 Pm 0.6598 0.0075 0.6594
Pm8 Pm 0.9127 0.2466 0.4121
Sm1 Sm 0.2482 0.2575 0.7453
Sc1 Sc 0.3288 0.0008 0.3281
Sc2 Sc 0.7485 0.7586 0.2455
Sc3 Sc 0.8315 0.5091 0.8343
```


# 11
Tb3Dy3Sc | PBE | optimized geometry

Calculated values
Energy above the lowest structure with this stoichiometry: 13.2 kJ per mole of atoms
ΔH_f (0 K): 159.4 meV per atom

Structure (CIF):
```
data_Tb3Dy3Sc
_symmetry_space_group_name_H-M 'R -3'
_symmetry_Int_Tables_number 148
_symmetry_space_group_name_Hall '-R 3'
_cell_length_a 6.1362
_cell_length_b 6.1362
_cell_length_c 41.4514
_cell_angle_alpha 90.00
_cell_angle_beta 90.00
_cell_angle_gamma 120.00
loop_
_atom_site_label
_atom_site_type_symbol
_atom_site_fract_x
_atom_site_fract_y
_atom_site_fract_z
Tb1 Tb 0.0000 0.3312 0.1317
Dy1 Dy 0.0001 0.3346 0.9370
Sc1 Sc 0.0000 0.0000 0.3333
```


# 12
Ce6Tc2Au | PBE | optimized geometry

Calculated values
ΔH_f (0 K): -256.0 meV per atom

Structure (CIF):
```
data_Ce6Tc2Au
_symmetry_space_group_name_H-M 'C 1 2/m 1'
_symmetry_Int_Tables_number 12
_symmetry_space_group_name_Hall '-C 2y'
_cell_length_a 10.0982
_cell_length_b 5.0054
_cell_length_c 8.6459
_cell_angle_alpha 90.00
_cell_angle_beta 98.02
_cell_angle_gamma 90.00
loop_
_atom_site_label
_atom_site_type_symbol
_atom_site_fract_x
_atom_site_fract_y
_atom_site_fract_z
Ce1 Ce 0.0461 0.0000 0.3569
Ce2 Ce 0.1118 0.5000 0.6740
Ce3 Ce 0.1893 0.5000 0.1065
Tc1 Tc 0.2258 0.5000 0.3809
Au1 Au 0.0000 0.0000 0.0000
```


Question: Which formula does entry 7 have?
Answer: HfAl2BiRu